Model P:
This record from Alexandria describes a relaxed CsSrHf3 crystal. The functional is PBE.

The structure in CIF format:
```
data_CsSrHf3
_chemical_formula_sum 'Cs1 Sr1 Hf3'
_space_group_name_H-M_alt 'P m -3 m'
_space_group_IT_number 221
_space_group_name_Hall '-P 4 2 3'
_cell_length_a 5.419
_cell_length_b 5.419
_cell_length_c 5.419
_cell_angle_alpha 90.00
_cell_angle_beta 90.00
_cell_angle_gamma 90.00
loop_
_atom_site_label
_atom_site_type_symbol
_atom_site_fract_x
_atom_site_fract_y
_atom_site_fract_z
Cs1 Cs 0.000 0.000 0.000
Sr1 Sr 0.500 0.500 0.500
Hf1 Hf 0.000 0.000 0.500
```


Model Q:
This record from Alexandria describes a relaxed CsSrHf3 crystal. The functional is PBE.

The structure in CIF format:
```
data_CsSrHf3
_chemical_formula_sum 'Cs1 Sr1 Hf3'
_space_group_name_H-M_alt 'P m -3 m'
_space_group_IT_number 221
_space_group_name_Hall '-P 4 2 3'
_cell_length_a 5.610
_cell_length_b 5.610
_cell_length_c 5.610
_cell_angle_alpha 90.00
_cell_angle_beta 90.00
_cell_angle_gamma 90.00
loop_
_atom_site_label
_atom_site_type_symbol
_atom_site_fract_x
_atom_site_fract_y
_atom_site_fract_z
Cs1 Cs 0.000 0.000 0.000
Sr1 Sr 0.500 0.500 0.500
Hf1 Hf 0.000 0.500 0.500
```


Of them, the most stable is model P and the least stable is model Q.


Model P:
This record from Alexandria describes a relaxed CsSr3Hf crystal. The functional is PBE.

The structure in CIF format:
```
data_CsSr3Hf
_chemical_formula_sum 'Cs1 Sr3 Hf1'
_space_group_name_H-M_alt 'P m -3 m'
_space_group_IT_number 221
_space_group_name_Hall '-P 4 2 3'
_cell_length_a 6.079
_cell_length_b 6.079
_cell_length_c 6.079
_cell_angle_alpha 90.00
_cell_angle_beta 90.00
_cell_angle_gamma 90.00
loop_
_atom_site_label
_atom_site_type_symbol
_atom_site_fract_x
_atom_site_fract_y
_atom_site_fract_z
Cs1 Cs 0.000 0.000 0.000
Sr1 Sr 0.000 0.000 0.500
Hf1 Hf 0.500 0.500 0.500
```


Model Q:
This record from Alexandria describes a relaxed CsSr3Hf crystal. The functional is PBE.

The structure in CIF format:
```
data_CsSr3Hf
_chemical_formula_sum 'Cs1 Sr3 Hf1'
_space_group_name_H-M_alt 'P m -3 m'
_space_group_IT_number 221
_space_group_name_Hall '-P 4 2 3'
_cell_length_a 6.676
_cell_length_b 6.676
_cell_length_c 6.676
_cell_angle_alpha 90.00
_cell_angle_beta 90.00
_cell_angle_gamma 90.00
loop_
_atom_site_label
_atom_site_type_symbol
_atom_site_fract_x
_atom_site_fract_y
_atom_site_fract_z
Cs1 Cs 0.000 0.000 0.000
Sr1 Sr 0.000 0.500 0.500
Hf1 Hf 0.500 0.500 0.500
```


Of them, the most stable is model Q and the least stable is model P.


Model P:
This record from Alexandria describes a relaxed CsHf3Ta crystal. The functional is PBE.

The structure in CIF format:
```
data_CsHf3Ta
_chemical_formula_sum 'Cs1 Hf3 Ta1'
_space_group_name_H-M_alt 'P m -3 m'
_space_group_IT_number 221
_space_group_name_Hall '-P 4 2 3'
_cell_length_a 5.125
_cell_length_b 5.125
_cell_length_c 5.125
_cell_angle_alpha 90.00
_cell_angle_beta 90.00
_cell_angle_gamma 90.00
loop_
_atom_site_label
_atom_site_type_symbol
_atom_site_fract_x
_atom_site_fract_y
_atom_site_fract_z
Cs1 Cs 0.000 0.000 0.000
Hf1 Hf 0.000 0.000 0.500
Ta1 Ta 0.500 0.500 0.500
```


Model Q:
This record from Alexandria describes a relaxed CsHf3Ta crystal. The functional is PBE.

The structure in CIF format:
```
data_CsHf3Ta
_chemical_formula_sum 'Cs1 Hf3 Ta1'
_space_group_name_H-M_alt 'P m -3 m'
_space_group_IT_number 221
_space_group_name_Hall '-P 4 2 3'
_cell_length_a 5.344
_cell_length_b 5.344
_cell_length_c 5.344
_cell_angle_alpha 90.00
_cell_angle_beta 90.00
_cell_angle_gamma 90.00
loop_
_atom_site_label
_atom_site_type_symbol
_atom_site_fract_x
_atom_site_fract_y
_atom_site_fract_z
Cs1 Cs 0.000 0.000 0.000
Hf1 Hf 0.000 0.500 0.500
Ta1 Ta 0.500 0.500 0.500
```


Of them, the most stable is model Q and the least stable is model P.


Model P:
This record from Alexandria describes a relaxed CsHf2Tc crystal. The functional is PBE.

The structure in CIF format:
```
data_CsHf2Tc
_chemical_formula_sum 'Cs4 Hf8 Tc4'
_space_group_name_H-M_alt 'I 41/a m d'
_space_group_IT_number 141
_cell_length_a 7.360
_cell_length_b 7.360
_cell_length_c 12.562
_cell_angle_alpha 90.00
_cell_angle_beta 90.00
_cell_angle_gamma 90.00
loop_
_space_group_symop_operation_xyz
'x,y,z'
'-x,-y,-z'
'-y+1/4,x+3/4,z+1/4'
'y+1/4,-x+3/4,-z+1/4'
'-x+1/2,-y,z+1/2'
'x+1/2,y,-z+1/2'
'y+1/4,-x+1/4,z+3/4'
'-y+1/4,x+1/4,-z+3/4'
'x,-y,-z'
'-x,y,z'
'-y+1/4,-x+1/4,-z+3/4'
'y+1/4,x+1/4,z+3/4'
'-x+1/2,y,-z+1/2'
'x+1/2,-y,z+1/2'
'y+1/4,x+3/4,-z+1/4'
'-y+1/4,-x+3/4,z+1/4'
'x+1/2,y+1/2,z+1/2'
'-x+1/2,-y+1/2,-z+1/2'
'-y+3/4,x+1/4,z+3/4'
'y+3/4,-x+1/4,-z+3/4'
'-x,-y+1/2,z'
'x,y+1/2,-z'
'y+3/4,-x+3/4,z+1/4'
'-y+3/4,x+3/4,-z+1/4'
'x+1/2,-y+1/2,-z+1/2'
'-x+1/2,y+1/2,z+1/2'
'-y+3/4,-x+3/4,-z+1/4'
'y+3/4,x+3/4,z+1/4'
'-x,y+1/2,-z'
'x,-y+1/2,z'
'y+3/4,x+1/4,-z+3/4'
'-y+3/4,-x+1/4,z+3/4'
loop_
_atom_site_label
_atom_site_type_symbol
_atom_site_fract_x
_atom_site_fract_y
_atom_site_fract_z
Cs1 Cs 0.000 0.250 0.375
Hf1 Hf 0.000 0.000 0.000
Tc1 Tc 0.000 0.250 0.875
```


Model Q:
This record from Alexandria describes a relaxed CsHf2Tc crystal. The functional is PBE.

The structure in CIF format:
```
data_CsHf2Tc
_chemical_formula_sum 'Cs4 Hf8 Tc4'
_space_group_name_H-M_alt 'F m -3 m'
_space_group_IT_number 225
_space_group_name_Hall '-F 4 2 3'
_cell_length_a 7.070
_cell_length_b 7.070
_cell_length_c 7.070
_cell_angle_alpha 90.00
_cell_angle_beta 90.00
_cell_angle_gamma 90.00
loop_
_atom_site_label
_atom_site_type_symbol
_atom_site_fract_x
_atom_site_fract_y
_atom_site_fract_z
Cs1 Cs 0.000 0.000 0.000
Hf1 Hf 0.250 0.250 0.250
Tc1 Tc 0.000 0.000 0.500
```


Of them, the most stable is model Q and the least stable is model P.


Model P:
This record from Alexandria describes a relaxed CsHfTe4 crystal. The functional is PBE.

The structure in CIF format:
```
data_CsHfTe4
_chemical_formula_sum 'Cs4 Hf4 Te16'
_space_group_name_H-M_alt 'C 1 2/m 1'
_space_group_IT_number 12
_cell_length_a 16.505
_cell_length_b 9.470
_cell_length_c 6.445
_cell_angle_alpha 90.00
_cell_angle_beta 91.39
_cell_angle_gamma 90.00
loop_
_space_group_symop_operation_xyz
'x,y,z'
'-x,-y,-z'
'-x,y,-z'
'x,-y,z'
'x+1/2,y+1/2,z'
'-x+1/2,-y+1/2,-z'
'-x+1/2,y+1/2,-z'
'x+1/2,-y+1/2,z'
loop_
_atom_site_label
_atom_site_type_symbol
_atom_site_fract_x
_atom_site_fract_y
_atom_site_fract_z
Cs1 Cs 0.175 0.000 0.214
Hf1 Hf 0.014 0.500 0.264
Te1 Te 0.000 0.251 0.000
Te2 Te 0.109 0.310 0.596
Te3 Te 0.188 0.500 0.286
```


Model Q:
This record from Alexandria describes a relaxed CsHfTe4 crystal. The functional is PBE.

The structure in CIF format:
```
data_CsHfTe4
_chemical_formula_sum 'Cs4 Hf4 Te16'
_space_group_name_H-M_alt 'C 1 2/c 1'
_space_group_IT_number 15
_cell_length_a 8.990
_cell_length_b 16.303
_cell_length_c 7.190
_cell_angle_alpha 90.00
_cell_angle_beta 113.08
_cell_angle_gamma 90.00
loop_
_space_group_symop_operation_xyz
'x,y,z'
'-x,-y,-z'
'-x,y,-z+1/2'
'x,-y,z+1/2'
'x+1/2,y+1/2,z'
'-x+1/2,-y+1/2,-z'
'-x+1/2,y+1/2,-z+1/2'
'x+1/2,-y+1/2,z+1/2'
loop_
_atom_site_label
_atom_site_type_symbol
_atom_site_fract_x
_atom_site_fract_y
_atom_site_fract_z
Cs1 Cs 0.000 0.144 0.250
Hf1 Hf 0.000 0.500 0.250
Te1 Te 0.061 0.361 0.530
Te2 Te 0.238 0.075 0.870
```


Of them, the most stable is model P and the least stable is model Q.


Model P:
This record from Alexandria describes a relaxed Cs4HfTe4 crystal. The functional is PBE.

The structure in CIF format:
```
data_Cs4HfTe4
_chemical_formula_sum 'Cs8 Hf2 Te8'
_space_group_name_H-M_alt 'I -4 2 m'
_space_group_IT_number 121
_space_group_name_Hall 'I -4 2'
_cell_length_a 9.038
_cell_length_b 9.038
_cell_length_c 15.042
_cell_angle_alpha 90.00
_cell_angle_beta 90.00
_cell_angle_gamma 90.00
loop_
_atom_site_label
_atom_site_type_symbol
_atom_site_fract_x
_atom_site_fract_y
_atom_site_fract_z
Cs1 Cs 0.000 0.000 0.196
Cs2 Cs 0.000 0.500 0.000
Hf1 Hf 0.000 0.000 0.500
Te1 Te 0.175 0.175 0.607
```


Model Q:
This record from Alexandria describes a relaxed Cs4HfTe4 crystal. The functional is PBE.

The structure in CIF format:
```
data_Cs4HfTe4
_chemical_formula_sum 'Cs8 Hf2 Te8'
_space_group_name_H-M_alt 'I -4 2 m'
_space_group_IT_number 121
_space_group_name_Hall 'I -4 2'
_cell_length_a 7.841
_cell_length_b 7.841
_cell_length_c 15.422
_cell_angle_alpha 90.00
_cell_angle_beta 90.00
_cell_angle_gamma 90.00
loop_
_atom_site_label
_atom_site_type_symbol
_atom_site_fract_x
_atom_site_fract_y
_atom_site_fract_z
Cs1 Cs 0.200 0.200 0.359
Hf1 Hf 0.000 0.000 0.000
Te1 Te 0.200 0.200 0.105
```


Of them, the most stable is model Q and the least stable is model P.